1.
Compound: Cu2IrRu
Source: the Alexandria database
Functional: meta-GGA SCAN
Structure: single point on PBEsol structure

a = 2.594 Å, b = 2.594 Å, c = 8.753 Å
α = 90.00°, β = 90.00°, γ = 117.94°
Fractional coordinates of all 4 atoms:
Cu 0.000 0.000 0.752
Cu 0.000 0.000 0.248
Ru 0.500 0.500 0.000
Ir 0.500 0.500 0.500

Properties
SG: Cmmm (65)
Polymorph energy (0 for the lowest one) (meV/atom): 232
Total magnetic moment (μB/f.u.): 0.9
Theoretical density (g cm⁻³): 13.42
Total energy (eV per cell): -135.16
Energy of formation (eV/atom): 0.292
Fermi-level density of states (states/eV/f.u.): 3.8

---

2.
Compound: Cu3IrS
Source: the Alexandria database
Functional: meta-GGA SCAN
Structure: single point on PBEsol structure

a = 4.135 Å, b = 4.135 Å, c = 4.135 Å
α = 90.00°, β = 90.00°, γ = 90.00°
Fractional coordinates of all 5 atoms:
Cu 0.500 0.000 0.000
Cu 0.000 0.000 0.500
Cu 0.000 0.500 0.000
S 0.000 0.000 0.000
Ir 0.500 0.500 0.500

Properties
SG: Pm-3m (221)
Formation energy (no corrections) (kJ/mol of formula units): 365
Total magnetic moment (μB/f.u.): 0.0
Theoretical density (g cm⁻³): 9.74
Total energy (eV per cell): -122.54
Fermi-level density of states (states/eV/f.u.): 2.0

---

3.
Compound: Cu2SnIrS
Source: the Alexandria database
Functional: meta-GGA SCAN
Structure: single point on PBEsol structure

a = 4.053 Å, b = 4.053 Å, c = 5.521 Å
α = 90.00°, β = 90.00°, γ = 90.00°
Fractional coordinates of all 5 atoms:
S 0.000 0.000 0.000
Ir 0.500 0.500 0.500
Cu 0.000 0.500 0.000
Cu 0.500 0.000 0.000
Sn 0.000 0.000 0.500

Properties
SG: P4/mmm (123)
Formation energy (no corrections) (kJ/mol of formula units): 305
Total magnetic moment (μB/f.u.): 0.7
Theoretical density (g cm⁻³): 8.61
Total energy (eV per cell): -143.89
Fermi-level density of states (states/eV/f.u.): 2.8

---

4.
Compound: Cu2SbIr
Source: the Alexandria database
Functional: meta-GGA SCAN
Structure: single point on PBEsol structure

a = 3.057 Å, b = 3.695 Å, c = 5.222 Å
α = 90.00°, β = 90.00°, γ = 90.00°
Fractional coordinates of all 4 atoms:
Sb 0.500 0.500 0.500
Cu 0.000 0.000 0.235
Cu 0.000 0.000 0.765
Ir 0.500 0.500 0.000

Properties
SG: Pmmm (47)
Formation energy (no corrections) (kJ/mol of formula units): 87
Total magnetic moment (μB/f.u.): 0.0
Theoretical density (g cm⁻³): 12.42
Total energy (eV per cell): -137.86
Fermi-level density of states (states/eV/f.u.): 2.0

---

5.
Compound: Cu2SbIr
Source: the Alexandria database
Functional: meta-GGA SCAN
Structure: single point on PBEsol structure

a = 3.071 Å, b = 4.488 Å, c = 4.488 Å
α = 108.72°, β = 90.00°, γ = 90.00°
Fractional coordinates of all 4 atoms:
Sb 0.500 0.500 0.500
Cu 0.000 0.500 0.000
Cu 0.000 0.000 0.500
Ir 0.500 0.000 0.000

Properties
SG: Cmmm (65)
Formation energy (no corrections) (kJ/mol of formula units): 81
Total magnetic moment (μB/f.u.): 0.0
Theoretical density (g cm⁻³): 12.50
Total energy (eV per cell): -137.92
Fermi-level density of states (states/eV/f.u.): 1.9

---

6.
Compound: CuSb3Ir
Source: the Alexandria database
Functional: meta-GGA SCAN
Structure: single point on PBEsol structure

a = 4.834 Å, b = 4.834 Å, c = 4.834 Å
α = 90.00°, β = 90.00°, γ = 90.00°
Fractional coordinates of all 5 atoms:
Sb 0.000 0.500 0.000
Sb 0.000 0.000 0.500
Sb 0.500 0.000 0.000
Cu 0.000 0.000 0.000
Ir 0.500 0.500 0.500

Properties
SG: Pm-3m (221)
Formation energy (no corrections) (kJ/mol of formula units): 513
Total magnetic moment (μB/f.u.): 0.0
Theoretical density (g cm⁻³): 9.13
Total energy (eV per cell): -192.77
Fermi-level density of states (states/eV/f.u.): 3.3

---

7.
Compound: CuSbIr4
Source: the Alexandria database
Functional: meta-GGA SCAN
Structure: single point on PBEsol structure

a = 5.184 Å, b = 5.184 Å, c = 5.184 Å
α = 60.00°, β = 60.00°, γ = 60.00°
Fractional coordinates of all 6 atoms:
Sb 0.750 0.750 0.750
Ir 0.375 0.876 0.375
Ir 0.375 0.375 0.876
Ir 0.876 0.375 0.375
Ir 0.375 0.375 0.375
Cu 0.000 0.000 0.000

Properties
SG: F-43m (216)
Formation energy (no corrections) (kJ/mol of formula units): 329
Total magnetic moment (μB/f.u.): 0.9
Theoretical density (g cm⁻³): 16.09
Total energy (eV per cell): -333.45
Fermi-level density of states (states/eV/f.u.): 4.3

---

8.
Compound: CuSbIr3
Source: the Alexandria database
Functional: meta-GGA SCAN
Structure: single point on PBEsol structure

a = 4.458 Å, b = 4.458 Å, c = 4.458 Å
α = 90.00°, β = 90.00°, γ = 90.00°
Fractional coordinates of all 5 atoms:
Ir 0.000 0.500 0.000
Ir 0.000 0.000 0.500
Ir 0.500 0.000 0.000
Sb 0.500 0.500 0.500
Cu 0.000 0.000 0.000

Properties
SG: Pm-3m (221)
Formation energy (no corrections) (kJ/mol of formula units): 730
Total magnetic moment (μB/f.u.): 0.0
Theoretical density (g cm⁻³): 14.28
Total energy (eV per cell): -258.19
Fermi-level density of states (states/eV/f.u.): 5.7

---

9.
Compound: Sc2CuIr
Source: the Alexandria database
Functional: meta-GGA SCAN
Structure: single point on PBEsol structure

a = 4.523 Å, b = 4.523 Å, c = 4.523 Å
α = 60.00°, β = 60.00°, γ = 60.00°
Fractional coordinates of all 4 atoms:
Ir 0.000 0.000 0.000
Sc 0.250 0.250 0.250
Sc 0.750 0.750 0.750
Cu 0.500 0.500 0.500

Properties
SG: Fm-3m (225)
Total magnetic moment (μB/f.u.): 0.0
Theoretical density (g cm⁻³): 8.77
Total energy (eV per cell): -118.19
Energy of formation (eV/atom): -0.853
Fermi-level density of states (states/eV/f.u.): 2.0

---

10.
Compound: Sc2CuIr
Source: the Alexandria database
Functional: meta-GGA SCAN
Structure: single point on PBEsol structure

a = 4.458 Å, b = 4.458 Å, c = 4.458 Å
α = 60.00°, β = 60.00°, γ = 60.00°
Fractional coordinates of all 4 atoms:
Ir 0.250 0.250 0.250
Sc 0.750 0.750 0.750
Sc 0.000 0.000 0.000
Cu 0.500 0.500 0.500

Properties
SG: F-43m (216)
Total magnetic moment (μB/f.u.): 0.0
Theoretical density (g cm⁻³): 9.16
Total energy (eV per cell): -116.75
Energy of formation (eV/atom): -0.493
Fermi-level density of states (states/eV/f.u.): 4.1

---

11.
Compound: Sc2CuIr
Source: the Alexandria database
Functional: meta-GGA SCAN
Structure: single point on PBEsol structure

a = 3.902 Å, b = 3.902 Å, c = 5.076 Å
α = 112.60°, β = 112.60°, γ = 90.00°
Fractional coordinates of all 4 atoms:
Cu 0.500 0.500 0.000
Sc 0.750 0.250 0.500
Sc 0.000 0.000 0.000
Ir 0.250 0.750 0.500

Properties
SG: I-4m2 (119)
Total magnetic moment (μB/f.u.): 0.0
Theoretical density (g cm⁻³): 8.85
Total energy (eV per cell): -117.10
Energy of formation (eV/atom): -0.583
Fermi-level density of states (states/eV/f.u.): 3.1

---

12.
Compound: Sc2CuIr
Source: the Alexandria database
Functional: meta-GGA SCAN
Structure: single point on PBEsol structure

a = 3.133 Å, b = 4.567 Å, c = 4.567 Å
α = 90.00°, β = 90.00°, γ = 90.00°
Fractional coordinates of all 4 atoms:
Sc 0.000 0.000 0.500
Sc 0.000 0.500 0.000
Cu 0.500 0.500 0.500
Ir 0.500 0.000 0.000

Properties
SG: P4/mmm (123)
Total magnetic moment (μB/f.u.): 0.0
Theoretical density (g cm⁻³): 8.78
Total energy (eV per cell): -118.08
Energy of formation (eV/atom): -0.828
Fermi-level density of states (states/eV/f.u.): 2.0